Here is Na6AlTl12 after structural relaxation from Alexandria via LeMat-Bulk. Energies are from PBE.

Its energy relative to the elements is -0.04 eV per atom. The value obtained for the raw total energy is -2.15 eV/atom.

The structure belongs to space group R-3 (No. 148, hexagonal axes); the cell edges are 11.9011, 11.9011 and 13.4721 Å and the angles 90.00°, 90.00° and 120.00°. The asymmetric unit holds Na at (0.0260, 0.4307, 0.2125), Al at (0.0000, 0.0000, 0.5000), Tl at (0.0410, 0.1824, 0.3199) and Tl at (0.0609, 0.8634, 0.9042).